Record 1
SrAgH2Os: optimized geometry, GGA-PBE.

N(E_F) in states/eV per atom: 0.56
Total energy in Ry per atom: -0.2915

Cell: 4.0188 4.0188 5.1318 Å, 90.00 90.00 90.00°
With the nearest neighbours (Å) after each atom.
Space group P4/mmm (No. 123)
One atom of each set of equivalent atoms:
Sr 0.0000 0.0000 0.0000 (multiplicity 1)  4 Ag 2.84
Ag 0.5000 0.5000 0.0000 (multiplicity 1)  2 Os 2.57, 4 Sr 2.84
H 0.0000 0.5000 0.5000 (multiplicity 2)  2 Os 2.01
Os 0.5000 0.5000 0.5000 (multiplicity 1)  4 H 2.01

***

Record 2
Sr2AgH6Os: optimized geometry, GGA-PBE.

N(E_F) in states/eV per atom: 0.30
Total energy in Ry per atom: -0.3005

Cell: 5.2485 5.2485 5.6747 Å, 90.00 90.00 120.00°
With the nearest neighbours (Å) after each atom.
Space group P-3m1 (No. 164)
One atom of each set of equivalent atoms:
Sr 0.3333 0.6667 0.2878 (multiplicity 2)  9 H 2.63-2.64
Ag 0.0000 0.0000 0.0000 (multiplicity 1)  6 H 2.42
H 0.1625 0.3251 0.6617 (multiplicity 6)  1 Os 1.74
Os 0.0000 0.0000 0.5000 (multiplicity 1)  6 H 1.74

***

Record 3
TcAgH2Os: optimized geometry, GGA-PBE.

N(E_F) in states/eV per atom: 0.73
Total energy in Ry per atom: -0.3570

Cell: 3.6325 3.6325 5.1693 Å, 90.00 90.00 90.00°
With the nearest neighbours (Å) after each atom.
Space group P4/mmm (No. 123)
One atom of each set of equivalent atoms:
Tc 0.0000 0.0000 0.0000 (multiplicity 1)  4 Ag 2.57
Ag 0.5000 0.5000 0.0000 (multiplicity 1)  4 Tc 2.57, 2 Os 2.58
H 0.0000 0.5000 0.5000 (multiplicity 2)  2 Os 1.82
Os 0.5000 0.5000 0.5000 (multiplicity 1)  4 H 1.82